(1)
Material: LiTiMnSb
Method: DFT, PBE
State: optimized geometry

Values from the calculation:
Electronic total energy = -0.4430 Ry/atom
Theoretical density = 6.45 Mg/m³

Cell lengths 6.202, 6.202, 6.202 Å; angles 90.00, 90.00, 90.00 degrees
Space group F-43m (No. 216)
Symmetry-distinct sites (fractional):
Li 0.000 0.000 0.000 x4
Ti 0.250 0.250 0.250 x4
Mn 0.000 0.000 0.500 x4
Sb 0.250 0.250 0.750 x4


(2)
Material: LiMnVSb
Method: DFT, PBE
State: optimized geometry

Values from the calculation:
Electronic total energy = -0.4566 Ry/atom
Theoretical density = 6.91 Mg/m³

Cell lengths 6.085, 6.085, 6.085 Å; angles 90.00, 90.00, 90.00 degrees
Space group F-43m (No. 216)
Symmetry-distinct sites (fractional):
Li 0.000 0.000 0.000 x4
Mn 0.000 0.000 0.500 x4
V 0.250 0.250 0.750 x4
Sb 0.250 0.250 0.250 x4


(3)
Material: LiMn2ZnSb
Method: DFT, PBE
State: optimized geometry

Values from the calculation:
Electronic total energy = -0.3305 Ry/atom
Theoretical density = 5.90 Mg/m³

Cell lengths 4.423, 4.423, 4.373 Å; angles 90.00, 90.00, 90.00 degrees
Space group P4/mmm (No. 123)
Symmetry-distinct sites (fractional):
Li 0.000 0.000 0.000 x1
Mn 0.000 0.500 0.000 x2
Zn 0.000 0.000 0.500 x1
Sb 0.500 0.500 0.500 x1


(4)
Material: LiMnZnSb2
Method: DFT, PBE
State: optimized geometry

Values from the calculation:
Electronic total energy = -0.2650 Ry/atom
Theoretical density = 5.00 Mg/m³

Cell lengths 5.233, 5.233, 4.497 Å; angles 90.00, 90.00, 90.00 degrees
Space group P4/mmm (No. 123)
Symmetry-distinct sites (fractional):
Li 0.000 0.000 0.000 x1
Mn 0.500 0.500 0.000 x1
Zn 0.000 0.000 0.500 x1
Sb 0.000 0.500 0.500 x2


(5)
Material: LiScMn
Method: DFT, PBE
State: optimized geometry

Values from the calculation:
Formation energy = 65.2 kJ per mole of atoms
Electronic total energy = -0.3770 Ry/atom
Theoretical density = 3.07 Mg/m³

Cell lengths 6.139, 6.139, 6.139 Å; angles 90.00, 90.00, 90.00 degrees
Space group F-43m (No. 216)
Symmetry-distinct sites (fractional):
Li 0.000 0.000 0.000 x4
Sc 0.250 0.250 0.750 x4
Mn 0.250 0.250 0.250 x4


(6)
Material: LiScMn4
Method: DFT, PBE
State: optimized geometry

Values from the calculation:
Formation energy = 15.4 kJ per mole of atoms
Electronic total energy = -0.5386 Ry/atom
Theoretical density = 5.75 Mg/m³

Cell lengths 6.796, 6.796, 6.796 Å; angles 90.00, 90.00, 90.00 degrees
Space group F-43m (No. 216)
Symmetry-distinct sites (fractional):
Li 0.000 0.000 0.000 x4
Sc 0.250 0.250 0.750 x4
Mn 0.126 0.126 0.374 x16


(7)
Material: Li3ScMn
Method: DFT, PBE
State: optimized geometry

Values from the calculation:
Formation energy = 66.1 kJ per mole of atoms
Electronic total energy = -0.2619 Ry/atom
Theoretical density = 1.95 Mg/m³

Cell lengths 4.682, 4.682, 4.682 Å; angles 90.00, 90.00, 90.00 degrees
Space group Pm-3m (No. 221)
Symmetry-distinct sites (fractional):
Li 0.000 0.000 0.500 x3
Sc 0.500 0.500 0.500 x1
Mn 0.000 0.000 0.000 x1


(8)
Material: Li4ScMn
Method: DFT, PBE
State: optimized geometry

Values from the calculation:
Formation energy = 25.4 kJ per mole of atoms
Electronic total energy = -0.2643 Ry/atom
Theoretical density = 2.00 Mg/m³

Cell lengths 7.514, 7.514, 7.514 Å; angles 90.00, 90.00, 90.00 degrees
Space group F-43m (No. 216)
Symmetry-distinct sites (fractional):
Li 0.123 0.123 0.123 x16
Sc 0.000 0.000 0.500 x4
Mn 0.250 0.250 0.750 x4


(9)
Material: LiSc4Mn
Method: DFT, PBE
State: optimized geometry

Values from the calculation:
Formation energy = 51.6 kJ per mole of atoms
Electronic total energy = -0.4067 Ry/atom
Theoretical density = 2.82 Mg/m³

Cell lengths 8.289, 8.289, 8.289 Å; angles 90.00, 90.00, 90.00 degrees
Space group F-43m (No. 216)
Symmetry-distinct sites (fractional):
Li 0.000 0.000 0.000 x4
Sc 0.124 0.124 0.376 x16
Mn 0.250 0.250 0.750 x4


(10)
Material: LiScMn
Method: DFT, PBE
State: optimized geometry

Values from the calculation:
Formation energy = 28.0 kJ per mole of atoms
Electronic total energy = -0.4053 Ry/atom
Theoretical density = 3.39 Mg/m³

Cell lengths 4.5209, 4.5209, 2.9537 Å; angles 90.00, 90.00, 120.00 degrees
Space group P3m1 (No. 156)
Symmetry-distinct sites (fractional):
Li 0.0000 0.0000 0.0000 x1
Sc 0.6667 0.3333 0.6201 x1
Mn 0.3333 0.6667 0.1772 x1


(11)
Material: LiSc2Mn2
Method: DFT, PBE
State: optimized geometry

Values from the calculation:
Formation energy = 22.2 kJ per mole of atoms
Electronic total energy = -0.4670 Ry/atom
Theoretical density = 3.98 Mg/m³

Cell lengths 7.464, 7.464, 3.099 Å; angles 90.00, 90.00, 90.00 degrees
Space group P4/mbm (No. 127)
Symmetry-distinct sites (fractional):
Li 0.000 0.000 0.000 x2
Sc 0.194 0.306 0.500 x4
Mn 0.094 0.594 0.000 x4


(12)
Material: LiScMn
Method: DFT, PBE
State: optimized geometry

Values from the calculation:
Formation energy = 86.1 kJ per mole of atoms
Electronic total energy = -0.3611 Ry/atom
Theoretical density = 2.73 Mg/m³

Cell lengths 6.382, 6.382, 6.382 Å; angles 90.00, 90.00, 90.00 degrees
Space group F-43m (No. 216)
Symmetry-distinct sites (fractional):
Li 0.000 0.000 0.000 x4
Sc 0.250 0.250 0.750 x4
Mn 0.000 0.000 0.500 x4


(13)
Material: LiScMn
Method: DFT, PBE
State: optimized geometry

Values from the calculation:
Formation energy = 20.0 kJ per mole of atoms
Electronic total energy = -0.4114 Ry/atom
Theoretical density = 3.21 Mg/m³

Cell lengths 3.041, 3.041, 11.947 Å; angles 90.00, 90.00, 90.00 degrees
Space group I4mm (No. 107)
Symmetry-distinct sites (fractional):
Li 0.000 0.000 0.000 x2
Sc 0.000 0.000 0.705 x2
Mn 0.000 0.000 0.351 x2


(14)
Material: LiSc3Mn
Method: DFT, PBE
State: optimized geometry

Values from the calculation:
Formation energy = 108.3 kJ per mole of atoms
Electronic total energy = -0.3596 Ry/atom
Theoretical density = 3.07 Mg/m³

Cell lengths 4.738, 4.738, 4.738 Å; angles 90.00, 90.00, 90.00 degrees
Space group Pm-3m (No. 221)
Symmetry-distinct sites (fractional):
Li 0.000 0.000 0.000 x1
Sc 0.000 0.000 0.500 x3
Mn 0.500 0.500 0.500 x1


(15)
Material: LiSc3Mn
Method: DFT, PBE
State: optimized geometry

Values from the calculation:
Formation energy = 22.6 kJ per mole of atoms
Electronic total energy = -0.4249 Ry/atom
Theoretical density = 2.77 Mg/m³

Cell lengths 4.907, 4.907, 4.907 Å; angles 90.00, 90.00, 90.00 degrees
Space group Pm-3m (No. 221)
Symmetry-distinct sites (fractional):
Li 0.000 0.000 0.000 x1
Sc 0.000 0.500 0.500 x3
Mn 0.500 0.500 0.500 x1


(16)
Material: Li2ScMnSe4
Method: DFT, PBE
State: optimized geometry

Values from the calculation:
Electronic total energy = -0.3904 Ry/atom
Theoretical density = 4.49 Mg/m³

Cell lengths 6.531, 3.811, 6.744 Å; angles 90.00, 108.68, 90.00 degrees
Space group P2/m (No. 10)
Symmetry-distinct sites (fractional):
Li 0.000 0.000 0.000 x1
Li 0.500 0.500 0.000 x1
Sc 0.000 0.500 0.500 x1
Mn 0.500 0.000 0.500 x1
Se 0.258 0.000 0.738 x2
Se 0.263 0.500 0.263 x2


(17)
Material: Li3ScMn2Se6
Method: DFT, PBE
State: optimized geometry

Values from the calculation:
Electronic total energy = -0.3886 Ry/atom
Theoretical density = 4.59 Mg/m³

Cell lengths 6.511, 11.291, 6.751 Å; angles 90.00, 108.77, 90.00 degrees
Space group C2/m (No. 12)
Symmetry-distinct sites (fractional):
Li 0.000 0.000 0.000 x2
Li 0.000 0.332 0.000 x4
Sc 0.000 0.500 0.500 x2
Mn 0.000 0.166 0.500 x4
Se 0.234 0.000 0.737 x4
Se 0.248 0.172 0.266 x8


(18)
Material: LiSmScMn
Method: DFT, PBE
State: optimized geometry

Values from the calculation:
Formation energy = 13.8 kJ per mole of atoms
Electronic total energy = -0.3962 Ry/atom
Theoretical density = 5.05 Mg/m³

Cell lengths 6.965, 6.965, 6.965 Å; angles 90.00, 90.00, 90.00 degrees
Space group F-43m (No. 216)
Symmetry-distinct sites (fractional):
Li 0.000 0.000 0.000 x4
Sm 0.250 0.250 0.750 x4
Sc 0.250 0.250 0.250 x4
Mn 0.000 0.000 0.500 x4


(19)
Material: Li2ScMnTe4
Method: DFT, PBE
State: optimized geometry

Values from the calculation:
Electronic total energy = -0.3519 Ry/atom
Theoretical density = 5.17 Mg/m³

Cell lengths 7.028, 4.094, 7.342 Å; angles 90.00, 108.48, 90.00 degrees
Space group P2/m (No. 10)
Symmetry-distinct sites (fractional):
Li 0.000 0.000 0.000 x1
Li 0.500 0.500 0.000 x1
Sc 0.000 0.500 0.500 x1
Mn 0.500 0.000 0.500 x1
Te 0.256 0.000 0.740 x2
Te 0.262 0.500 0.263 x2


(20)
Material: LiYSc2Mn
Method: DFT, PBE
State: optimized geometry

Values from the calculation:
Formation energy = 24.7 kJ per mole of atoms
Electronic total energy = -0.4252 Ry/atom
Theoretical density = 3.16 Mg/m³

Cell lengths 4.918, 4.918, 5.223 Å; angles 90.00, 90.00, 90.00 degrees
Space group P4/mmm (No. 123)
Symmetry-distinct sites (fractional):
Li 0.000 0.000 0.000 x1
Y 0.500 0.500 0.000 x1
Sc 0.000 0.500 0.500 x2
Mn 0.500 0.500 0.500 x1


(21)
Material: LiYScMn
Method: DFT, PBE
State: optimized geometry

Values from the calculation:
Formation energy = 12.4 kJ per mole of atoms
Electronic total energy = -0.4293 Ry/atom
Theoretical density = 3.94 Mg/m³

Cell lengths 6.912, 6.912, 6.912 Å; angles 90.00, 90.00, 90.00 degrees
Space group F-43m (No. 216)
Symmetry-distinct sites (fractional):
Li 0.000 0.000 0.000 x4
Y 0.250 0.250 0.750 x4
Sc 0.250 0.250 0.250 x4
Mn 0.000 0.000 0.500 x4


(22)
Material: LiMnSe3
Method: DFT, PBE
State: optimized geometry

Values from the calculation:
Electronic total energy = -0.3577 Ry/atom
Theoretical density = 4.45 Mg/m³

Cell lengths 4.983, 6.710, 7.486 Å; angles 73.81, 77.12, 69.40 degrees
Space group P-1 (No. 2)
Symmetry-distinct sites (fractional):
Li 0.173 0.372 0.239 x2
Mn 0.373 0.792 0.418 x2
Se 0.177 0.110 0.579 x2
Se 0.273 0.025 0.101 x2
Se 0.391 0.525 0.725 x2


(23)
Material: LiMn2Se
Method: DFT, PBE
State: optimized geometry

Values from the calculation:
Electronic total energy = -0.4144 Ry/atom
Theoretical density = 4.53 Mg/m³

Cell lengths 3.2190, 3.2190, 24.0172 Å; angles 90.00, 90.00, 120.00 degrees
Space group R-3m (No. 166, hexagonal axes)
Symmetry-distinct sites (fractional):
Li 0.0000 0.0000 0.0000 x3
Mn 0.0000 0.0000 0.2403 x6
Se 0.0000 0.0000 0.5000 x3


(24)
Material: LiMnSe
Method: DFT, PBE
State: optimized geometry

Values from the calculation:
Electronic total energy = -0.3880 Ry/atom
Theoretical density = 4.45 Mg/m³

Cell lengths 8.451, 8.980, 6.965 Å; angles 90.00, 127.35, 90.00 degrees
Space group C2/c (No. 15)
Symmetry-distinct sites (fractional):
Li 0.177 0.125 0.251 x8
Mn 0.119 0.374 0.986 x8
Se 0.000 0.121 0.750 x4
Se 0.000 0.371 0.250 x4


(25)
Material: LiMn2Se
Method: DFT, PBE
State: optimized geometry

Values from the calculation:
Electronic total energy = -0.4363 Ry/atom
Theoretical density = 5.48 Mg/m³

Cell lengths 3.828, 3.828, 4.050 Å; angles 90.00, 90.00, 90.00 degrees
Space group P4/mmm (No. 123)
Symmetry-distinct sites (fractional):
Li 0.000 0.000 0.000 x1
Mn 0.000 0.500 0.500 x2
Se 0.500 0.500 0.000 x1


(26)
Material: LiMnSe3
Method: DFT, PBE
State: optimized geometry

Values from the calculation:
Electronic total energy = -0.3154 Ry/atom
Theoretical density = 4.58 Mg/m³

Cell lengths 4.766, 4.766, 4.766 Å; angles 90.00, 90.00, 90.00 degrees
Space group Pm-3m (No. 221)
Symmetry-distinct sites (fractional):
Li 0.000 0.000 0.000 x1
Mn 0.500 0.500 0.500 x1
Se 0.000 0.500 0.500 x3


(27)
Material: LiMn2Se
Method: DFT, PBE
State: optimized geometry

Values from the calculation:
Electronic total energy = -0.4311 Ry/atom
Theoretical density = 5.63 Mg/m³

Cell lengths 3.606, 3.804, 8.425 Å; angles 90.00, 90.00, 90.00 degrees
Space group Imm2 (No. 44)
Symmetry-distinct sites (fractional):
Li 0.000 0.000 0.000 x2
Mn 0.000 0.000 0.509 x2
Mn 0.000 0.500 0.755 x2
Se 0.000 0.500 0.252 x2


(28)
Material: LiMnSe
Method: DFT, PBE
State: optimized geometry

Values from the calculation:
Electronic total energy = -0.3770 Ry/atom
Theoretical density = 3.98 Mg/m³

Cell lengths 4.1908, 4.1908, 3.8618 Å; angles 90.00, 90.00, 120.00 degrees
Space group P3m1 (No. 156)
Symmetry-distinct sites (fractional):
Li 0.0000 0.0000 0.0000 x1
Mn 0.6667 0.3333 0.5141 x1
Se 0.3333 0.6667 0.6004 x1


Number 1: total moment 1.01 μB/f.u.. Number 2: total moment 0.00 μB/f.u.. Number 3: total moment 6.93 μB/f.u.. Number 4: total moment 4.26 μB/f.u.. Number 5: total moment 2.64 μB/f.u.. Number 6: total moment 0.00 μB/f.u.. Number 7: total moment 2.22 μB/f.u.. Number 8: total moment 4.26 μB/f.u.. Number 9: total moment 3.65 μB/f.u.. Number 10: total moment 2.65 μB/f.u.. Number 11: total moment 0.01 μB/f.u.. Number 12: total moment 2.95 μB/f.u.. Number 13: total moment 2.72 μB/f.u.. Number 14: total moment 2.08 μB/f.u.. Number 15: total moment 0.00 μB/f.u.. Number 16: total moment 4.00 μB/f.u.. Number 17: total moment 8.00 μB/f.u.. Number 18: total moment 2.27 μB/f.u.. Number 19: total moment 4.09 μB/f.u.. Number 20: total moment 0.00 μB/f.u.. Number 21: total moment 2.42 μB/f.u.. Number 22: total moment 3.17 μB/f.u.. Number 23: total moment 7.35 μB/f.u.. Number 24: total moment 4.01 μB/f.u.. Number 25: total moment 7.40 μB/f.u.. Number 26: total moment 0.00 μB/f.u.. Number 27: total moment 6.71 μB/f.u.. Number 28: total moment 3.96 μB/f.u..